Record 1
Crystalline KPa3Tl2S8 at its relaxed geometry. Source: the Alexandria database, functional PBE.

Computed properties:
- DOS(E_F): 11.0 states/eV/cell
- Uncorrected formation energy: -1327 meV per atom

Lattice parameters (Å, degrees): 8.219 8.219 9.053 63.00 63.00 60.00
Positions (direct):
1 K 0.867 0.867 0.400
2 Pa 0.500 0.000 0.001
3 Pa 0.000 0.500 0.001
4 Pa 0.500 0.500 0.001
5 Tl 0.125 0.125 0.626
6 Tl 0.502 0.502 0.493
7 S 0.273 0.273 0.182
8 S 0.728 0.728 0.815
9 S 0.244 0.244 0.815
10 S 0.697 0.244 0.815
11 S 0.244 0.697 0.815
12 S 0.755 0.304 0.186
13 S 0.304 0.755 0.186
14 S 0.755 0.755 0.186

---

Record 2
Crystalline Be2MoAs at its relaxed geometry. Source: the Alexandria database, functional PBE.

Computed properties:
- DFT formation energy: 0.2470 eV/atom
- DOS(E_F): 1.5 states/eV/cell

Lattice parameters (Å, degrees): 4.691 4.691 4.397 85.84 85.84 32.78
Positions (direct):
1 Be 0.016 0.016 0.975
2 Be 0.762 0.762 0.755
3 Mo 0.489 0.489 0.500
4 As 0.233 0.233 0.270

---

Record 3
Crystalline TlSn2Pb6 at its relaxed geometry. Source: the Alexandria database, functional PBE.

Computed properties:
- DFT formation energy: 0.0463 eV/atom
- Distance to the lowest polymorph of the same formula: 0.028 eV/atom
- DOS(E_F): 8.8 states/eV/cell

Lattice parameters (Å, degrees): 6.452 9.509 9.509 99.88 97.79 97.79
Positions (direct):
1 Tl 0.250 0.920 0.080
2 Tl 0.750 0.080 0.920
3 Sn 0.132 0.382 0.366
4 Sn 0.368 0.634 0.618
5 Sn 0.868 0.618 0.634
6 Sn 0.632 0.366 0.382
7 Pb 0.514 0.340 0.738
8 Pb 0.986 0.262 0.660
9 Pb 0.486 0.660 0.262
10 Pb 0.014 0.738 0.340
11 Pb 0.695 0.915 0.575
12 Pb 0.805 0.425 0.085
13 Pb 0.305 0.085 0.425
14 Pb 0.195 0.575 0.915
15 Pb 0.275 0.266 0.032
16 Pb 0.225 0.968 0.734
17 Pb 0.725 0.734 0.968
18 Pb 0.775 0.032 0.266

---

Record 4
Crystalline NbAlVTc at its relaxed geometry. Source: the Alexandria database, functional PBE.

Computed properties:
- DFT formation energy: -0.2752 eV/atom
- DOS(E_F): 2.6 states/eV/cell

Lattice parameters (Å, degrees): 4.435 4.435 4.435 60.00 60.00 60.00
Positions (direct):
1 Nb 0.000 0.000 0.000
2 Al 0.500 0.500 0.500
3 Tc 0.750 0.750 0.750
4 V 0.250 0.250 0.250

---

Record 5
Crystalline SbH2O at its relaxed geometry. Source: the Alexandria database, functional PBE.

Computed properties:
- Distance to the lowest polymorph of the same formula: 0.000 eV/atom
- DOS(E_F): 1.1 states/eV/cell

Lattice parameters (Å, degrees): 3.280 3.280 8.739 79.18 79.18 90.00
Positions (direct):
1 Sb 0.000 0.000 0.000
2 Sb 0.750 0.250 0.500
3 O 0.500 0.500 0.000
4 O 0.250 0.750 0.500
5 H 0.875 0.125 0.250
6 H 0.875 0.625 0.250
7 H 0.375 0.125 0.750
8 H 0.875 0.125 0.750

---

Record 6
Crystalline H2Pd4Cl at its relaxed geometry. Source: the Alexandria database, functional PBE.

Computed properties:
- Final energy: -4.17 eV per atom
- DOS(E_F): 10.7 states/eV/cell

Lattice parameters (Å, degrees): 7.036 5.848 5.694 122.16 113.02 85.73
Positions (direct):
1 H 0.514 0.382 0.791
2 H 0.613 0.864 0.250
3 H 0.672 0.372 0.311
4 H 0.083 0.324 0.721
5 Pd 0.751 0.051 0.063
6 Pd 0.523 0.712 0.417
7 Pd 0.908 0.559 0.655
8 Pd 0.885 0.075 0.632
9 Pd 0.504 0.221 0.409
10 Pd 0.344 0.210 0.837
11 Pd 0.394 0.695 0.860
12 Pd 0.782 0.544 0.075
13 Cl 0.164 0.709 0.407
14 Cl 0.113 0.032 0.072

---

Record 7
Crystalline Mg2CoRh at its relaxed geometry. Source: the Alexandria database, functional PBE.

Computed properties:
- DFT formation energy: 0.2651 eV/atom
- DOS(E_F): 9.8 states/eV/cell

Lattice parameters (Å, degrees): 6.964 6.964 5.605 51.60 51.60 90.00
Positions (direct):
1 Co 0.500 0.500 0.000
2 Co 0.250 0.750 0.500
3 Mg 0.619 0.125 0.250
4 Mg 0.131 0.625 0.250
5 Mg 0.375 0.381 0.750
6 Mg 0.875 0.869 0.750
7 Rh 0.000 0.000 0.000
8 Rh 0.750 0.250 0.500

---

Record 8
Crystalline Cs2LiCl7 at its relaxed geometry. Source: the Alexandria database, functional PBE.

Computed properties:
- DOS(E_F): 2.1 states/eV/cell
- Uncorrected formation energy: -987 meV per atom

Lattice parameters (Å, degrees): 7.771 7.771 7.608 59.29 59.29 90.00
Positions (direct):
1 Cs 0.750 0.250 0.500
2 Cs 0.250 0.750 0.500
3 Li 0.500 0.500 0.000
4 Cl 0.000 0.000 0.000
5 Cl 0.215 0.215 0.571
6 Cl 0.785 0.785 0.429
7 Cl 0.284 0.284 0.000
8 Cl 0.716 0.716 0.000
9 Cl 0.716 0.284 0.000
10 Cl 0.284 0.716 0.000